No. 1
Entry from Alexandria via LeMat-Bulk: a geometry-optimized Zn3In2S6 structure (GGA-PBEsol).

Geometry as CIF:
```
data_Zn3In2S6
_cell_length_a 3.845
_cell_length_b 3.845
_cell_length_c 18.096
_cell_angle_alpha 90.00
_cell_angle_beta 90.00
_cell_angle_gamma 120.00
_symmetry_space_group_name_H-M 'P 1'
_symmetry_Int_Tables_number 1
_symmetry_space_group_name_Hall 'P 1'
loop_
_atom_site_label
_atom_site_type_symbol
_atom_site_fract_x
_atom_site_fract_y
_atom_site_fract_z
Zn1 Zn 0.000 0.000 0.000
Zn2 Zn 0.000 0.000 0.422
Zn3 Zn 0.667 0.333 0.590
In1 In 0.333 0.667 0.796
In2 In 0.667 0.333 0.185
S1 S 0.000 0.000 0.242
S2 S 0.000 0.000 0.555
S3 S 0.000 0.000 0.876
S4 S 0.667 0.333 0.045
S5 S 0.667 0.333 0.383
S6 S 0.667 0.333 0.723
```

* energy relative to the elements, uncorrected: -0.641 eV per atom
* electronic total energy: -4.006 eV/atom
* total magnetic moment: 0.00 μB/f.u.



No. 2
Entry from Alexandria via LeMat-Bulk: a geometry-optimized Cu2Au3 structure (GGA-PBEsol).

Geometry as CIF:
```
data_Cu2Au3
_cell_length_a 8.411
_cell_length_b 3.986
_cell_length_c 5.871
_cell_angle_alpha 90.00
_cell_angle_beta 131.04
_cell_angle_gamma 90.00
_symmetry_space_group_name_H-M 'P 1'
_symmetry_Int_Tables_number 1
_symmetry_space_group_name_Hall 'P 1'
loop_
_atom_site_label
_atom_site_type_symbol
_atom_site_fract_x
_atom_site_fract_y
_atom_site_fract_z
Cu1 Cu 0.093 0.000 0.289
Cu2 Cu 0.407 0.500 0.711
Cu3 Cu 0.593 0.500 0.289
Cu4 Cu 0.907 0.000 0.711
Au1 Au 0.000 0.500 0.500
Au2 Au 0.205 0.500 0.123
Au3 Au 0.295 0.000 0.877
Au4 Au 0.500 0.000 0.500
Au5 Au 0.705 0.000 0.123
Au6 Au 0.795 0.500 0.877
```

* E above lowest polymorph: 0.015 eV per atom
* electronic total energy: -4.114 eV/atom
* total magnetic moment: 0.00 μB/f.u.



No. 3
Entry from Alexandria via LeMat-Bulk: a geometry-optimized La5Co structure (GGA-PBEsol).

Geometry as CIF:
```
data_La5Co
_cell_length_a 6.098
_cell_length_b 6.098
_cell_length_c 5.828
_cell_angle_alpha 90.00
_cell_angle_beta 90.00
_cell_angle_gamma 120.00
_symmetry_space_group_name_H-M 'P 1'
_symmetry_Int_Tables_number 1
_symmetry_space_group_name_Hall 'P 1'
loop_
_atom_site_label
_atom_site_type_symbol
_atom_site_fract_x
_atom_site_fract_y
_atom_site_fract_z
La1 La 0.000 0.500 0.000
La2 La 0.333 0.667 0.500
La3 La 0.500 0.000 0.000
La4 La 0.500 0.500 0.000
La5 La 0.667 0.333 0.500
Co1 Co 0.000 0.000 0.500
```

* E above lowest polymorph: 0.851 eV per atom
* electronic total energy: -4.886 eV/atom
* total magnetic moment: 1.52 μB/f.u.



No. 4
Entry from Alexandria via LeMat-Bulk: a geometry-optimized CuPt structure (GGA-PBEsol).

Geometry as CIF:
```
data_CuPt
_cell_length_a 2.682
_cell_length_b 2.682
_cell_length_c 25.786
_cell_angle_alpha 90.00
_cell_angle_beta 90.00
_cell_angle_gamma 120.00
_symmetry_space_group_name_H-M 'P 1'
_symmetry_Int_Tables_number 1
_symmetry_space_group_name_Hall 'P 1'
loop_
_atom_site_label
_atom_site_type_symbol
_atom_site_fract_x
_atom_site_fract_y
_atom_site_fract_z
Cu1 Cu 0.000 0.000 0.129
Cu2 Cu 0.000 0.000 0.871
Cu3 Cu 0.333 0.667 0.538
Cu4 Cu 0.333 0.667 0.796
Cu5 Cu 0.667 0.333 0.204
Cu6 Cu 0.667 0.333 0.462
Pt1 Pt 0.000 0.000 0.380
Pt2 Pt 0.000 0.000 0.620
Pt3 Pt 0.333 0.667 0.047
Pt4 Pt 0.333 0.667 0.286
Pt5 Pt 0.667 0.333 0.714
Pt6 Pt 0.667 0.333 0.953
```

* electronic total energy: -5.720 eV/atom
* total magnetic moment: 0.00 μB/f.u.



No. 5
Entry from Alexandria via LeMat-Bulk: a geometry-optimized La4MgCu structure (GGA-PBEsol).

Geometry as CIF:
```
data_La4MgCu
_cell_length_a 6.341
_cell_length_b 6.341
_cell_length_c 6.341
_cell_angle_alpha 60.00
_cell_angle_beta 60.00
_cell_angle_gamma 60.00
_symmetry_space_group_name_H-M 'P 1'
_symmetry_Int_Tables_number 1
_symmetry_space_group_name_Hall 'P 1'
loop_
_atom_site_label
_atom_site_type_symbol
_atom_site_fract_x
_atom_site_fract_y
_atom_site_fract_z
La1 La 0.125 0.125 0.125
La2 La 0.125 0.125 0.626
La3 La 0.125 0.626 0.125
La4 La 0.626 0.125 0.125
Mg1 Mg 0.500 0.500 0.500
Cu1 Cu 0.750 0.750 0.750
```

* electronic total energy: -4.056 eV/atom
* total magnetic moment: 0.00 μB/f.u.



No. 6
Entry from Alexandria via LeMat-Bulk: a geometry-optimized NaScCrAg2 structure (GGA-PBEsol).

Geometry as CIF:
```
data_NaScCrAg2
_cell_length_a 4.987
_cell_length_b 4.987
_cell_length_c 4.607
_cell_angle_alpha 90.00
_cell_angle_beta 90.00
_cell_angle_gamma 90.00
_symmetry_space_group_name_H-M 'P 1'
_symmetry_Int_Tables_number 1
_symmetry_space_group_name_Hall 'P 1'
loop_
_atom_site_label
_atom_site_type_symbol
_atom_site_fract_x
_atom_site_fract_y
_atom_site_fract_z
Na1 Na 0.000 0.000 0.000
Sc1 Sc 0.500 0.500 0.000
Cr1 Cr 0.500 0.500 0.500
Ag1 Ag 0.000 0.500 0.500
Ag2 Ag 0.500 0.000 0.500
```

* electronic total energy: -4.273 eV/atom
* total magnetic moment: 2.75 μB/f.u.



No. 7
Entry from Alexandria via LeMat-Bulk: a geometry-optimized CoSn2IrPt structure (GGA-PBEsol).

Geometry as CIF:
```
data_CoSn2IrPt
_cell_length_a 4.936
_cell_length_b 4.936
_cell_length_c 4.532
_cell_angle_alpha 90.00
_cell_angle_beta 90.00
_cell_angle_gamma 90.00
_symmetry_space_group_name_H-M 'P 1'
_symmetry_Int_Tables_number 1
_symmetry_space_group_name_Hall 'P 1'
loop_
_atom_site_label
_atom_site_type_symbol
_atom_site_fract_x
_atom_site_fract_y
_atom_site_fract_z
Co1 Co 0.000 0.000 0.000
Sn1 Sn 0.000 0.500 0.500
Sn2 Sn 0.500 0.000 0.500
Ir1 Ir 0.500 0.500 0.000
Pt1 Pt 0.000 0.000 0.500
```

* electronic total energy: -5.483 eV/atom
* total magnetic moment: 2.68 μB/f.u.



No. 8
Entry from Alexandria via LeMat-Bulk: a geometry-optimized SrLa2Sn2 structure (GGA-PBEsol).

Geometry as CIF:
```
data_SrLa2Sn2
_cell_length_a 4.788
_cell_length_b 4.788
_cell_length_c 14.493
_cell_angle_alpha 90.00
_cell_angle_beta 90.00
_cell_angle_gamma 90.00
_symmetry_space_group_name_H-M 'P 1'
_symmetry_Int_Tables_number 1
_symmetry_space_group_name_Hall 'P 1'
loop_
_atom_site_label
_atom_site_type_symbol
_atom_site_fract_x
_atom_site_fract_y
_atom_site_fract_z
Sr1 Sr 0.000 0.000 0.000
Sr2 Sr 0.500 0.500 0.500
La1 La 0.000 0.500 0.250
La2 La 0.000 0.500 0.750
La3 La 0.500 0.000 0.250
La4 La 0.500 0.000 0.750
Sn1 Sn 0.000 0.000 0.403
Sn2 Sn 0.000 0.000 0.597
Sn3 Sn 0.500 0.500 0.097
Sn4 Sn 0.500 0.500 0.903
```

* E above lowest polymorph: 0.174 eV per atom
* electronic total energy: -4.711 eV/atom
* total magnetic moment: 0.00 μB/f.u.



No. 9
Entry from Alexandria via LeMat-Bulk: a geometry-optimized BaMnN2 structure (GGA-PBEsol).

Geometry as CIF:
```
data_BaMnN2
_cell_length_a 6.299
_cell_length_b 6.299
_cell_length_c 7.702
_cell_angle_alpha 90.00
_cell_angle_beta 90.00
_cell_angle_gamma 125.82
_symmetry_space_group_name_H-M 'P 1'
_symmetry_Int_Tables_number 1
_symmetry_space_group_name_Hall 'P 1'
loop_
_atom_site_label
_atom_site_type_symbol
_atom_site_fract_x
_atom_site_fract_y
_atom_site_fract_z
Ba1 Ba 0.156 0.844 0.941
Ba2 Ba 0.344 0.656 0.441
Ba3 Ba 0.656 0.344 0.559
Ba4 Ba 0.844 0.156 0.059
Mn1 Mn 0.050 0.950 0.366
Mn2 Mn 0.450 0.550 0.866
Mn3 Mn 0.550 0.450 0.134
Mn4 Mn 0.950 0.050 0.634
N1 N 0.112 0.888 0.585
N2 N 0.166 0.334 0.750
N3 N 0.334 0.166 0.250
N4 N 0.388 0.612 0.085
N5 N 0.612 0.388 0.915
N6 N 0.666 0.834 0.750
N7 N 0.834 0.666 0.250
N8 N 0.888 0.112 0.415
```

* energy relative to the elements, uncorrected: -0.807 eV per atom
* electronic total energy: -8.048 eV/atom
* total magnetic moment: 0.33 μB/f.u.



No. 10
Entry from Alexandria via LeMat-Bulk: a geometry-optimized La2ZrBr structure (GGA-PBEsol).

Geometry as CIF:
```
data_La2ZrBr
_cell_length_a 3.555
_cell_length_b 3.555
_cell_length_c 30.892
_cell_angle_alpha 90.00
_cell_angle_beta 90.00
_cell_angle_gamma 120.00
_symmetry_space_group_name_H-M 'P 1'
_symmetry_Int_Tables_number 1
_symmetry_space_group_name_Hall 'P 1'
loop_
_atom_site_label
_atom_site_type_symbol
_atom_site_fract_x
_atom_site_fract_y
_atom_site_fract_z
La1 La 0.000 0.000 0.247
La2 La 0.000 0.000 0.753
La3 La 0.333 0.667 0.420
La4 La 0.333 0.667 0.914
La5 La 0.667 0.333 0.086
La6 La 0.667 0.333 0.580
Zr1 Zr 0.000 0.000 0.000
Zr2 Zr 0.333 0.667 0.667
Zr3 Zr 0.667 0.333 0.333
Br1 Br 0.000 0.000 0.500
Br2 Br 0.333 0.667 0.167
Br3 Br 0.667 0.333 0.833
```

* energy relative to the elements, uncorrected: -0.460 eV per atom
* electronic total energy: -5.873 eV/atom
* total magnetic moment: 0.00 μB/f.u.



No. 11
Entry from Alexandria via LeMat-Bulk: a geometry-optimized ReMo2Cl structure (GGA-PBEsol).

Geometry as CIF:
```
data_ReMo2Cl
_cell_length_a 6.217
_cell_length_b 6.217
_cell_length_c 6.217
_cell_angle_alpha 90.00
_cell_angle_beta 90.00
_cell_angle_gamma 90.00
_symmetry_space_group_name_H-M 'P 1'
_symmetry_Int_Tables_number 1
_symmetry_space_group_name_Hall 'P 1'
loop_
_atom_site_label
_atom_site_type_symbol
_atom_site_fract_x
_atom_site_fract_y
_atom_site_fract_z
Re1 Re 0.000 0.000 0.000
Re2 Re 0.000 0.500 0.500
Re3 Re 0.500 0.000 0.500
Re4 Re 0.500 0.500 0.000
Mo1 Mo 0.000 0.000 0.500
Mo2 Mo 0.000 0.500 0.000
Mo3 Mo 0.250 0.250 0.750
Mo4 Mo 0.250 0.750 0.250
Mo5 Mo 0.500 0.000 0.000
Mo6 Mo 0.500 0.500 0.500
Mo7 Mo 0.750 0.250 0.250
Mo8 Mo 0.750 0.750 0.750
Cl1 Cl 0.250 0.250 0.250
Cl2 Cl 0.250 0.750 0.750
Cl3 Cl 0.750 0.250 0.750
Cl4 Cl 0.750 0.750 0.250
```

* energy relative to the elements, uncorrected: 1.012 eV per atom
* electronic total energy: -8.707 eV/atom
* total magnetic moment: 0.00 μB/f.u.



No. 12
Entry from Alexandria via LeMat-Bulk: a geometry-optimized InPtO3 structure (GGA-PBEsol).

Geometry as CIF:
```
data_InPtO3
_cell_length_a 4.087
_cell_length_b 4.087
_cell_length_c 4.087
_cell_angle_alpha 90.00
_cell_angle_beta 90.00
_cell_angle_gamma 90.00
_symmetry_space_group_name_H-M 'P 1'
_symmetry_Int_Tables_number 1
_symmetry_space_group_name_Hall 'P 1'
loop_
_atom_site_label
_atom_site_type_symbol
_atom_site_fract_x
_atom_site_fract_y
_atom_site_fract_z
In1 In 0.000 0.000 0.000
Pt1 Pt 0.500 0.500 0.500
O1 O 0.000 0.000 0.500
O2 O 0.000 0.500 0.000
O3 O 0.500 0.000 0.000
```

* energy relative to the elements, uncorrected: 0.344 eV per atom
* electronic total energy: -4.795 eV/atom
* total magnetic moment: 3.03 μB/f.u.